# Pm3Pr2Rh2

An optimized crystal structure of Pm3Pr2Rh2 (PBE, Alexandria).

Structure (extended XYZ):
```
7
Lattice="-2.406 -3.027 -0.267 3.362 -0.681 5.555 -7.231 5.698 0.570" Properties=species:S:1:pos:R:3 pbc="T T T"
Rh -5.270 1.370 3.831
Rh -1.005 0.620 2.028
Pr -1.141 -1.891 3.590
Pr -5.134 3.881 2.269
Pm -1.203 -1.514 -0.133
Pm -2.472 1.569 4.490
Pm -3.803 0.421 1.368
```

## Properties
As for the formation energy from the elements: -0.472 eV per atom. The volume comes out at 200.71 Å³ per cell. As for the energy: -5.97 eV per atom. The calculation puts the density of states at the Fermi level at 1.09 states/eV/atom. As for the density: 7.63 g/cm³.